[1]
DFT (PBE) results for a geometry-optimized AsRhAu2 structure.

Summary:
Its space group is Cmmm, No. 65. The total energy comes out at -17.45 eV for the cell shown. For the formation energy, the calculation gives 0.2752 eV per atom.

Cell: 2.8670 2.8670 9.8113 Å, 90.00 90.00 119.86°
With the nearest neighbours (Å) after each atom.
Element x y z (fractional)
Au: 0.0000 0.0000 0.4917  2 Rh 2.77, 6 Au 2.87, 2 As 2.91
Au: 0.0000 0.0000 0.0083  2 Rh 2.77, 6 Au 2.87, 2 As 2.91
Rh: 0.5000 0.5000 0.2500  4 Au 2.77, 6 Rh 2.87
As: 0.5000 0.5000 0.7500  6 As 2.87, 4 Au 2.91

***

[2]
DFT (PBE) results for a geometry-optimized AsRh2Au structure.

Summary:
Its space group is P2/m, No. 10. The total energy comes out at -22.93 eV for the cell shown. For the formation energy, the calculation gives -0.0744 eV per atom.

Cell: 3.7524 3.0198 5.8498 Å, 73.95 90.00 90.00°
With the nearest neighbours (Å) after each atom.
Element x y z (fractional)
Au: 0.5000 0.7500 0.7500  8 Rh 2.85-2.87, 2 As 2.90, 2 Au 3.02
Rh: 0.0000 0.0990 0.0239  2 As 2.41
As: 0.5000 0.2500 0.2500  4 Rh 2.41
Rh: 0.0000 0.4010 0.4761  2 As 2.41

***

[3]
DFT (PBE) results for a geometry-optimized AsRhAu2 structure.

Summary:
Its space group is C2/m, No. 12. The total energy comes out at -18.36 eV for the cell shown. For the formation energy, the calculation gives 0.0502 eV per atom.

Cell: 6.3332 6.3332 4.0766 Å, 85.01 85.01 26.81°
With the nearest neighbours (Å) after each atom.
Element x y z (fractional)
As: 0.2500 0.2500 0.2500  4 Rh 2.51, 2 Au 2.69
Rh: 0.7500 0.7500 0.7500  4 As 2.51
Au: 0.0568 0.0568 0.9889  1 As 2.69, 6 Au 2.85-2.94, 2 Rh 2.89
Au: 0.4432 0.4432 0.5111  1 As 2.69, 6 Au 2.85-2.94, 2 Rh 2.89

***

[4]
DFT (PBE) results for a geometry-optimized As2Rh2Au structure.

Summary:
Its space group is I4/mmm, No. 139. The total energy comes out at -27.55 eV for the cell shown. Its energy above the most stable polymorph in this dataset is 86 meV per atom. For the formation energy, the calculation gives -0.0541 eV per atom.

Cell: 3.9038 3.9038 6.4094 Å, 72.27 72.27 90.00°
With the nearest neighbours (Å) after each atom.
Element x y z (fractional)
As: 0.7500 0.2500 0.5000  4 Rh 2.47, 4 As 2.76
Rh: 0.3815 0.3815 0.2371  4 As 2.47, 1 Rh 2.74
As: 0.2500 0.7500 0.5000  4 Rh 2.47, 4 As 2.76
Rh: 0.6185 0.6185 0.7629  4 As 2.47, 1 Rh 2.74
Au: 0.0000 0.0000 0.0000  8 Rh 3.08

***

[5]
DFT (PBE) results for a geometry-optimized AsRhAu2 structure.

Summary:
Its space group is I4/mmm, No. 139. The total energy comes out at -17.99 eV for the cell shown. For the formation energy, the calculation gives 0.1415 eV per atom.

Cell: 5.3325 5.3325 5.3325 Å, 137.44 137.44 61.76°
With the nearest neighbours (Å) after each atom.
Element x y z (fractional)
Au: 0.5000 0.5000 0.0000  4 Au 2.74, 4 Rh 3.00, 4 As 3.00
As: 0.7500 0.2500 0.5000  4 Rh 2.74, 8 Au 3.00
Rh: 0.2500 0.7500 0.5000  4 As 2.74, 8 Au 3.00
Au: 0.0000 0.0000 0.0000  4 Au 2.74, 4 As 3.00, 4 Rh 3.00

***

[6]
DFT (PBE) results for a geometry-optimized AsRh2Au structure.

Summary:
Its space group is Pmm2, No. 25. The total energy comes out at -22.47 eV for the cell shown. For the formation energy, the calculation gives 0.0396 eV per atom.

Cell: 2.8848 3.8853 5.8016 Å, 90.00 90.00 90.00°
With the nearest neighbours (Å) after each atom.
Element x y z (fractional)
Au: 0.5000 0.5000 0.7750  6 Rh 2.80-2.91, 2 Au 2.88, 4 As 3.12
As: 0.0000 0.0000 0.4350  5 Rh 2.43-2.60
Rh: 0.0000 0.0000 0.0168  1 As 2.43
Rh: 0.5000 0.5000 0.2732  4 As 2.60, 6 Rh 2.84-2.88, 1 Au 2.89